UMnPbS4: optimized geometry, PBE.

Cell lengths 6.5902, 6.3490, 8.1996 Å; angles 90.00, 108.41, 90.00 degrees
Fractional coordinates of all 14 atoms:
U 0.2214 0.2500 0.0511
U 0.7786 0.7500 0.9489
Mn 0.2323 0.7500 0.8178
Mn 0.7677 0.2500 0.1822
Pb 0.2753 0.2500 0.5563
Pb 0.7247 0.7500 0.4437
S 0.0202 0.5101 0.2230
S 0.0202 0.9899 0.2230
S 0.4382 0.7500 0.6367
S 0.4522 0.7500 0.0958
S 0.5478 0.2500 0.9042
S 0.5618 0.2500 0.3633
S 0.9798 0.0101 0.7770
S 0.9798 0.4899 0.7770

Values from the calculation:
**Symmetry**: P2_1/m, No. 11
**V**: 23.3 Å³/atom
**E**: -6.6260 eV per atom
**Formation energy from raw total energies**: -0.815 eV per atom

AlCu: optimized geometry, PBE.

Cell lengths 2.7589, 4.4292, 4.4588 Å; angles 90.00, 90.00, 90.00 degrees
Fractional coordinates of all 4 atoms:
Al 0.2500 0.2500 0.1048
Al 0.7500 0.7500 0.8952
Cu 0.2500 0.7500 0.3993
Cu 0.7500 0.2500 0.6007

Values from the calculation:
**Symmetry**: Pmmn, No. 59
**Formation energy**: -0.1532 eV per atom
**V**: 13.6 Å³/atom
**E**: -4.0726 eV per atom

NdSm3Co2: optimized geometry, PBE.

Cell lengths 8.6683, 8.6683, 12.0895 Å; angles 124.25, 124.25, 25.20 degrees
Fractional coordinates of all 12 atoms:
Nd 0.1574 0.1574 0.2496
Nd 0.8426 0.8426 0.7504
Sm 0.1589 0.1589 0.7514
Sm 0.4147 0.4147 0.0572
Sm 0.4152 0.4152 0.5543
Sm 0.5848 0.5848 0.4457
Sm 0.5853 0.5853 0.9428
Sm 0.8411 0.8411 0.2486
Co 0.2343 0.2343 0.0467
Co 0.2350 0.2350 0.5477
Co 0.7650 0.7650 0.4523
Co 0.7657 0.7657 0.9533

Values from the calculation:
**Symmetry**: C2/m, No. 12
**Formation energy**: -0.0748 eV per atom
**V**: 26.3 Å³/atom
**E**: -5.5977 eV per atom

Pm2Zn5Ge: optimized geometry, PBE.

Cell lengths 8.3661, 8.3661, 8.8675 Å; angles 90.00, 90.00, 149.59 degrees
Fractional coordinates of all 16 atoms:
Pm 0.0000 0.0000 0.0000
Pm 0.0000 0.0000 0.5000
Pm 0.2026 0.7974 0.7500
Pm 0.7974 0.2026 0.2500
Zn 0.1861 0.8139 0.1071
Zn 0.1861 0.8139 0.3929
Zn 0.3488 0.6512 0.0220
Zn 0.3488 0.6512 0.4780
Zn 0.4009 0.5991 0.7500
Zn 0.5991 0.4009 0.2500
Zn 0.6512 0.3488 0.5220
Zn 0.6512 0.3488 0.9780
Zn 0.8139 0.1861 0.6071
Zn 0.8139 0.1861 0.8929
Ge 0.4448 0.5552 0.2500
Ge 0.5552 0.4448 0.7500

Values from the calculation:
**Symmetry**: Cmcm, No. 63
**Formation energy**: -0.4681 eV per atom
**V**: 19.6 Å³/atom
**E**: -3.0291 eV per atom

Sr4Hg5Rh2: optimized geometry, PBE.

Cell lengths 7.7221, 4.4030, 9.3985 Å; angles 90.00, 91.91, 90.00 degrees
Fractional coordinates of all 11 atoms:
Sr 0.2035 0.0000 0.3458
Sr 0.2241 0.0000 0.9117
Sr 0.7759 0.0000 0.0883
Sr 0.7965 0.0000 0.6542
Hg 0.1441 0.5000 0.6331
Hg 0.4228 0.5000 0.1476
Hg 0.5000 0.5000 0.5000
Hg 0.5772 0.5000 0.8524
Hg 0.8559 0.5000 0.3669
Rh 0.0600 0.5000 0.1315
Rh 0.9400 0.5000 0.8685

Values from the calculation:
**Symmetry**: P2/m, No. 10
**Formation energy**: -0.4140 eV per atom
**V**: 29.0 Å³/atom
**E**: -2.4993 eV per atom

Fe2HgIr: optimized geometry, PBE.

Cell lengths 5.5449, 5.5449, 5.5449 Å; angles 103.48, 103.48, 122.26 degrees
Fractional coordinates of all 8 atoms:
Fe 0.0816 0.6250 0.9566
Fe 0.3750 0.3316 0.4566
Fe 0.6684 0.1250 0.0434
Fe 0.8750 0.9184 0.5434
Hg 0.2500 0.7500 0.5000
Hg 0.5000 0.5000 0.0000
Ir 0.0000 0.0000 0.0000
Ir 0.7500 0.2500 0.5000

Values from the calculation:
**Symmetry**: I-42d, No. 122
**Formation energy**: 0.9503 eV per atom
**V**: 15.8 Å³/atom
**E**: -5.5718 eV per atom

TmAl3Pd3: optimized geometry, PBE.

Cell lengths 6.7204, 6.7204, 6.7204 Å; angles 90.00, 90.00, 90.00 degrees
Fractional coordinates of all 14 atoms:
Tm 0.0000 0.0000 0.0000
Tm 0.5000 0.5000 0.5000
Al 0.0000 0.2500 0.5000
Al 0.0000 0.7500 0.5000
Al 0.2500 0.5000 0.0000
Al 0.5000 0.0000 0.2500
Al 0.5000 0.0000 0.7500
Al 0.7500 0.5000 0.0000
Pd 0.0000 0.5000 0.2500
Pd 0.0000 0.5000 0.7500
Pd 0.2500 0.0000 0.5000
Pd 0.5000 0.2500 0.0000
Pd 0.5000 0.7500 0.0000
Pd 0.7500 0.0000 0.5000

Values from the calculation:
**Symmetry**: Pm-3n, No. 223
**Formation energy**: -0.2881 eV per atom
**V**: 21.7 Å³/atom
**E**: -4.7564 eV per atom

NdSiAg: optimized geometry, PBE.

Cell lengths 4.4735, 4.4735, 7.7683 Å; angles 90.00, 90.00, 120.00 degrees
Fractional coordinates of all 6 atoms:
Nd 0.0000 0.0000 0.0000
Nd 0.0000 0.0000 0.5000
Si 0.3333 0.6667 0.2217
Si 0.6667 0.3333 0.7217
Ag 0.3333 0.6667 0.7632
Ag 0.6667 0.3333 0.2632

Values from the calculation:
**Symmetry**: P6_3mc, No. 186
**V**: 22.4 Å³/atom
**E**: -4.8793 eV per atom
**Formation energy from raw total energies**: -0.532 eV per atom